# 1
Here is an optimized crystal structure of K3La3PaTe8 from Alexandria via LeMat-Bulk. Energies are from PBE-GGA.

For the formation energy (no corrections), the calculation gives -1.355 eV/atom.

The space group is R-3m (No. 166, hexagonal axes) and the conventional cell measures 9.3204, 9.3204 and 24.9910 Å, with angles of 90.00, 90.00 and 120.00 degrees. Symmetry generates all atoms from K at (0.0000, 0.5000, 0.0000), La at (0.0000, 0.5000, 0.5000), Pa at (0.0000, 0.0000, 0.5000), Te at (0.0000, 0.0000, 0.2388) and Te at (0.0120, 0.5060, 0.2360).



# 2
Here is an optimized crystal structure of KLaPb3 from Alexandria via LeMat-Bulk. Energies are from PBE-GGA.

The calculation puts the offset from the most stable computed form at 35.14 kJ per mole of atoms. As for the formation energy: 0.5547 eV per atom.

The space group is Pm-3m (No. 221) and the conventional cell measures 5.771, 5.771 and 5.771 Å, with angles of 90.00, 90.00 and 90.00 degrees. Symmetry generates all atoms from K at (0.000, 0.000, 0.000), La at (0.500, 0.500, 0.500) and Pb at (0.000, 0.000, 0.500).



# 3
Here is an optimized crystal structure of KLaPb2 from Alexandria via LeMat-Bulk. Energies are from PBE-GGA.

The calculation puts the offset from the most stable computed form at 17.44 kJ per mole of atoms. As for the formation energy: -0.1972 eV per atom.

The space group is C2/m (No. 12) and the conventional cell measures 10.923, 3.666 and 7.825 Å, with angles of 90.00, 98.20 and 90.00 degrees. Symmetry generates all atoms from K at (0.000, 0.000, 0.000), La at (0.000, 0.500, 0.500) and Pb at (0.249, 0.000, 0.693).



# 4
Here is an optimized crystal structure of KLaPb2 from Alexandria via LeMat-Bulk. Energies are from PBE-GGA.

The calculation puts the offset from the most stable computed form at 34.37 kJ per mole of atoms. As for the formation energy: -0.0217 eV per atom.

The space group is F-43m (No. 216) and the conventional cell measures 8.164, 8.164 and 8.164 Å, with angles of 90.00, 90.00 and 90.00 degrees. Symmetry generates all atoms from K at (0.000, 0.000, 0.000), La at (0.250, 0.250, 0.750), Pb at (0.000, 0.000, 0.500) and Pb at (0.250, 0.250, 0.250).



# 5
Here is an optimized crystal structure of KLaPb2 from Alexandria via LeMat-Bulk. Energies are from PBE-GGA.

The calculation puts the offset from the most stable computed form at 13.12 kJ per mole of atoms. As for the formation energy: -0.2420 eV per atom.

The space group is Cm (No. 8) and the conventional cell measures 12.978, 3.572 and 6.176 Å, with angles of 90.00, 107.75 and 90.00 degrees. Symmetry generates all atoms from K at (0.000, 0.000, 0.000), La at (0.208, 0.000, 0.588), Pb at (0.255, 0.500, 0.127) and Pb at (0.457, 0.000, 0.486).



# 6
Here is an optimized crystal structure of KLaPb2 from Alexandria via LeMat-Bulk. Energies are from PBE-GGA.

The calculation puts the offset from the most stable computed form at 42.41 kJ per mole of atoms. As for the formation energy: 0.0616 eV per atom.

The space group is I-42d (No. 122) and the conventional cell measures 5.546, 5.546 and 22.222 Å, with angles of 90.00, 90.00 and 90.00 degrees. Symmetry generates all atoms from K at (0.000, 0.000, 0.000), La at (0.000, 0.000, 0.500) and Pb at (0.178, 0.250, 0.625).



# 7
Here is an optimized crystal structure of KLaPb2 from Alexandria via LeMat-Bulk. Energies are from PBE-GGA.

The calculation puts the offset from the most stable computed form at 7.58 kJ per mole of atoms. As for the formation energy: -0.2994 eV per atom.

The space group is P4/mmm (No. 123) and the conventional cell measures 5.193, 5.193 and 4.848 Å, with angles of 90.00, 90.00 and 90.00 degrees. Symmetry generates all atoms from K at (0.000, 0.000, 0.000), La at (0.500, 0.500, 0.000) and Pb at (0.000, 0.500, 0.500).



# 8
Here is an optimized crystal structure of KLaPb2 from Alexandria via LeMat-Bulk. Energies are from PBE-GGA.

The calculation puts the offset from the most stable computed form at 10.68 kJ per mole of atoms. As for the formation energy: -0.2673 eV per atom.

The space group is Imm2 (No. 44) and the conventional cell measures 4.321, 5.223 and 14.300 Å, with angles of 90.00, 90.00 and 90.00 degrees. Symmetry generates all atoms from K at (0.000, 0.000, 0.000), La at (0.000, 0.500, 0.246), Pb at (0.000, 0.000, 0.387) and Pb at (0.000, 0.500, 0.722).



| no. | V (Å³ per cell) | total magnetic moment (μB/atom) |
| --- | --- | --- |
| 1 | 1880 | 0.07 |
| 2 | 192 | 0.00 |
| 3 | 310 | 0.08 |
| 4 | 544 | 0.00 |
| 5 | 273 | 0.08 |
| 6 | 683 | 0.00 |
| 7 | 131 | 0.00 |
| 8 | 323 | 0.00 |